No. 1
KCuN2F | PBE-GGA | relaxed

a = 3.688 Å, b = 5.334 Å, c = 3.688 Å
α = 90.00°, β = 90.00°, γ = 90.00°
Each line ends with the local moment (μB).
Positions (direct):
K (0.500, 0.500, 0.500)  0.00
F (0.000, 0.500, 0.000)  0.07
Cu (0.000, 0.000, 0.000)  0.23
N (0.500, 0.000, 0.000)  0.78
N (0.000, 0.000, 0.500)  0.58

Magnetic moment in Bohr magnetons per cell: 2.2
Formation energy (no corrections) in eV per atom: 0.3314
D(E_F) in states/eV/cell: 2.456
Relative energy among the computed polymorphs in meV per atom: 0

=====

No. 2
KCuNF2 | PBE-GGA | relaxed

a = 4.829 Å, b = 4.829 Å, c = 4.960 Å
α = 90.00°, β = 90.00°, γ = 90.00°
Each line ends with the local moment (μB).
Positions (direct):
N (0.000, 0.000, 0.500)  1.83
Cu (0.500, 0.500, 0.500)  0.17
F (0.500, 0.000, 0.000)  0.12
F (0.000, 0.500, 0.000)  0.12
K (0.000, 0.000, 0.000)  0.04

Magnetic moment in Bohr magnetons per cell: 3.2
Formation energy (no corrections) in eV per atom: 0.3787
Relative energy among the computed polymorphs in meV per atom: 1257

=====

No. 3
KCuNF2 | PBE-GGA | relaxed

a = 4.348 Å, b = 4.348 Å, c = 3.712 Å
α = 90.00°, β = 90.00°, γ = 90.00°
Each line ends with the local moment (μB).
Positions (direct):
K (0.500, 0.500, 0.500)  0.01
F (0.500, 0.000, 0.000)  0.07
F (0.000, 0.500, 0.000)  0.07
N (0.000, 0.000, 0.500)  1.12
Cu (0.000, 0.000, 0.000)  0.35

Magnetic moment in Bohr magnetons per cell: 2.2
Formation energy (no corrections) in eV per atom: -0.8786
D(E_F) in states/eV/cell: 0.801
Relative energy among the computed polymorphs in meV per atom: 0

=====

No. 4
KCuN2F | PBE-GGA | relaxed

a = 5.206 Å, b = 5.206 Å, c = 4.667 Å
α = 90.00°, β = 90.00°, γ = 90.00°
Each line ends with the local moment (μB).
Positions (direct):
N (0.500, 0.000, 0.000)  1.72
N (0.000, 0.500, 0.000)  1.72
K (0.000, 0.000, 0.000)  0.06
Cu (0.500, 0.500, 0.500)  0.00
F (0.000, 0.000, 0.500)  0.05

Magnetic moment in Bohr magnetons per cell: 5.0
Formation energy (no corrections) in eV per atom: 1.6997
D(E_F) in states/eV/cell: 0.379
Relative energy among the computed polymorphs in meV per atom: 1368

=====

No. 5
K3NaCu2F9 | PBE-GGA | relaxed

a = 5.848 Å, b = 5.848 Å, c = 7.211 Å
α = 90.00°, β = 90.00°, γ = 120.00°
Each line ends with the local moment (μB).
Positions (direct):
F (0.176, 0.353, 0.313)  0.12
F (0.824, 0.647, 0.687)  0.12
F (0.500, 0.000, 0.000)  0.12
F (0.176, 0.824, 0.313)  0.12
F (0.824, 0.176, 0.687)  0.12
F (0.647, 0.824, 0.313)  0.12
F (0.353, 0.176, 0.687)  0.12
F (0.500, 0.500, 0.000)  0.12
F (0.000, 0.500, 0.000)  0.12
Na (0.000, 0.000, 0.500)  0.01
Cu (0.333, 0.667, 0.160)  0.95
Cu (0.667, 0.333, 0.840)  0.95
K (0.667, 0.333, 0.342)  0.00
K (0.333, 0.667, 0.658)  0.00
K (0.000, 0.000, 0.000)  0.00

Magnetic moment in Bohr magnetons per cell: 3.1
Formation energy (no corrections) in eV per atom: -2.2380
D(E_F) in states/eV/cell: 5.642

=====

No. 6
KNa4Cu3F12 | PBE-GGA | relaxed

a = 7.096 Å, b = 7.096 Å, c = 7.096 Å
α = 109.47°, β = 109.47°, γ = 109.47°
Each line ends with the local moment (μB).
Positions (direct):
Na (0.000, 0.000, 0.500)  0.00
Na (0.500, 0.500, 0.500)  0.00
Na (0.000, 0.500, 0.000)  0.00
Na (0.500, 0.000, 0.000)  0.00
F (0.666, 0.843, 0.509)  0.05
F (0.666, 0.157, 0.822)  0.05
F (0.334, 0.843, 0.178)  0.05
F (0.822, 0.666, 0.157)  0.05
F (0.157, 0.822, 0.666)  0.05
F (0.178, 0.334, 0.843)  0.05
F (0.843, 0.509, 0.666)  0.05
F (0.509, 0.666, 0.843)  0.05
F (0.157, 0.491, 0.334)  0.05
F (0.334, 0.157, 0.491)  0.05
F (0.843, 0.178, 0.334)  0.05
F (0.491, 0.334, 0.157)  0.05
Cu (0.000, 0.500, 0.500)  0.44
Cu (0.500, 0.000, 0.500)  0.44
Cu (0.500, 0.500, 0.000)  0.44
K (0.000, 0.000, 0.000)  0.00

Magnetic moment in Bohr magnetons per cell: 2.0
Formation energy (no corrections) in eV per atom: -2.1681
D(E_F) in states/eV/cell: 12.006

=====

Copy entry 2 word for word.
KCuNF2 | PBE-GGA | relaxed

a = 4.829 Å, b = 4.829 Å, c = 4.960 Å
α = 90.00°, β = 90.00°, γ = 90.00°
Each line ends with the local moment (μB).
Positions (direct):
N (0.000, 0.000, 0.500)  1.83
Cu (0.500, 0.500, 0.500)  0.17
F (0.500, 0.000, 0.000)  0.12
F (0.000, 0.500, 0.000)  0.12
K (0.000, 0.000, 0.000)  0.04

Magnetic moment in Bohr magnetons per cell: 3.2
Formation energy (no corrections) in eV per atom: 0.3787
Relative energy among the computed polymorphs in meV per atom: 1257